Entry 1:
The following is a GGA-PBE calculation of a geometry-optimized Rb3TlFe structure, from Alexandria.

Calculated values
The formation energy comes out at 0.902 eV/atom.

Structure (CIF):
```
data_Rb3TlFe
_cell_length_a 7.0123
_cell_length_b 7.0123
_cell_length_c 7.0123
_cell_angle_alpha 90.00
_cell_angle_beta 90.00
_cell_angle_gamma 90.00
_space_group_name_H-M_alt 'P m -3 m'
_space_group_IT_number 221
_space_group_name_Hall '-P 4 2 3'
loop_
_atom_site_label
_atom_site_type_symbol
_atom_site_fract_x
_atom_site_fract_y
_atom_site_fract_z
Rb1 Rb 0.0000 0.0000 0.5000
Tl1 Tl 0.0000 0.0000 0.0000
Fe1 Fe 0.5000 0.5000 0.5000
```

***

Entry 2:
The following is a GGA-PBE calculation of a geometry-optimized HfScCrIr structure, from Alexandria.

Calculated values
The formation energy comes out at -0.434 eV/atom.

Structure (CIF):
```
data_HfScCrIr
_cell_length_a 6.4883
_cell_length_b 6.4883
_cell_length_c 6.4883
_cell_angle_alpha 90.00
_cell_angle_beta 90.00
_cell_angle_gamma 90.00
_space_group_name_H-M_alt 'F -4 3 m'
_space_group_IT_number 216
_space_group_name_Hall 'F -4 2 3'
loop_
_atom_site_label
_atom_site_type_symbol
_atom_site_fract_x
_atom_site_fract_y
_atom_site_fract_z
Hf1 Hf 0.0000 0.0000 0.0000
Sc1 Sc 0.0000 0.0000 0.5000
Cr1 Cr 0.2500 0.2500 0.7500
Ir1 Ir 0.2500 0.2500 0.2500
```

***

Entry 3:
The following is a GGA-PBE calculation of a geometry-optimized InPt2Rh structure, from Alexandria.

Calculated values
The formation energy comes out at -0.219 eV/atom.

Structure (CIF):
```
data_InPt2Rh
_cell_length_a 9.3101
_cell_length_b 2.9475
_cell_length_c 4.8655
_cell_angle_alpha 90.00
_cell_angle_beta 101.58
_cell_angle_gamma 90.00
_space_group_name_H-M_alt 'C 1 m 1'
_space_group_IT_number 8
_space_group_name_Hall 'C -2y'
loop_
_atom_site_label
_atom_site_type_symbol
_atom_site_fract_x
_atom_site_fract_y
_atom_site_fract_z
In1 In 0.0000 0.0000 0.0000
Pt1 Pt 0.2498 0.0000 0.7395
Pt2 Pt 0.4969 0.0000 0.4948
Rh1 Rh 0.2468 0.5000 0.2531
```

***

The following D(E_F) values (in states/eV/f.u.) correspond, in order, to the records above: 26.64 4.04 5.04.